# 1
{
  "formula": "MgAg2Pd2",
  "functional": "PBE",
  "state": "relaxed",
  "lattice_angstrom": [[3.745, 0.000, 0.000], [0.000, 3.745, 0.000], [1.873, 1.873, 6.767]],
  "species": ["Mg", "Pd", "Pd", "Ag", "Ag"],
  "frac_coords": [[0.000, 0.000, 0.000], [0.750, 0.250, 0.500], [0.250, 0.750, 0.500], [0.401, 0.401, 0.198], [0.599, 0.599, 0.802]],
  "sg": "I4/mmm (139)",
  "dft_energy_ev_per_atom": -3.4997,
  "density_g_cm3": 7.92,
  "relative_energy_kj_per_mol_atoms": 32.5,
  "n_ef_per_ev_atom": 0.39,
  "delta_e_f_ev_per_atom": 0.04
}

=====

# 2
{
  "formula": "CaPrSm2In4",
  "functional": "PBE",
  "state": "relaxed",
  "lattice_angstrom": [[-4.404, 0.367, -3.166], [-4.865, -1.469, 1.930], [-4.468, 7.993, 2.474]],
  "species": ["Ca", "Pr", "Sm", "Sm", "In", "In", "In", "In"],
  "frac_coords": [[0.500, 0.500, 0.500], [0.000, 0.000, 0.000], [0.753, 0.753, 0.742], [0.247, 0.247, 0.258], [0.375, 0.375, 0.875], [0.875, 0.875, 0.375], [0.125, 0.125, 0.625], [0.625, 0.625, 0.125]],
  "sg": "R-3m (166)",
  "dft_energy_ev_per_atom": -3.8777,
  "density_g_cm3": 6.82,
  "n_ef_per_ev_atom": 0.45,
  "delta_e_f_ev_per_atom": -0.48
}

=====

# 3
{
  "formula": "Co3GeBi",
  "functional": "PBE",
  "state": "relaxed",
  "lattice_angstrom": [[-4.298, 0.265, -2.100], [1.505, -2.961, -3.453], [-1.489, -3.757, 2.573]],
  "species": ["Ge", "Co", "Co", "Co", "Bi"],
  "frac_coords": [[0.500, 0.500, 0.500], [0.000, 0.500, 0.000], [0.000, 0.000, 0.500], [0.500, 0.000, 0.000], [0.000, 0.000, 0.000]],
  "sg": "Pm-3m (221)",
  "dft_energy_ev_per_atom": -4.4606,
  "density_g_cm3": 6.92,
  "relative_energy_kj_per_mol_atoms": 85.7,
  "n_ef_per_ev_atom": 2.31,
  "delta_e_f_ev_per_atom": 1.50
}

=====

# 4
{
  "formula": "RbMo2Ir",
  "functional": "PBE",
  "state": "relaxed",
  "lattice_angstrom": [[5.055, 0.000, 0.000], [0.000, 5.055, 0.000], [2.527, 2.527, 8.752]],
  "species": ["Mo", "Mo", "Mo", "Mo", "Ir", "Ir", "Rb", "Rb"],
  "frac_coords": [[0.880, 0.125, 0.250], [0.870, 0.625, 0.250], [0.375, 0.120, 0.750], [0.875, 0.130, 0.750], [0.000, 0.000, 0.000], [0.750, 0.250, 0.500], [0.500, 0.500, 0.000], [0.250, 0.750, 0.500]],
  "sg": "I-42d (122)",
  "dft_energy_ev_per_atom": -6.3513,
  "density_g_cm3": 6.97,
  "relative_energy_kj_per_mol_atoms": 1.5,
  "n_ef_per_ev_atom": 1.23,
  "delta_e_f_ev_per_atom": 1.52
}

=====

# 5
{
  "formula": "NdDy2ErTm6",
  "functional": "PBE",
  "state": "relaxed",
  "lattice_angstrom": [[-8.540, -2.736, -2.883], [0.933, -6.754, 5.411], [-2.927, 7.493, 3.323]],
  "species": ["Nd", "Nd", "Dy", "Dy", "Dy", "Dy", "Er", "Er", "Tm", "Tm", "Tm", "Tm", "Tm", "Tm", "Tm", "Tm", "Tm", "Tm", "Tm", "Tm"],
  "frac_coords": [[0.250, 0.975, 0.025], [0.750, 0.025, 0.975], [0.453, 0.802, 0.695], [0.047, 0.305, 0.198], [0.547, 0.198, 0.305], [0.953, 0.695, 0.802], [0.250, 0.410, 0.590], [0.750, 0.590, 0.410], [0.058, 0.126, 0.749], [0.442, 0.251, 0.874], [0.942, 0.874, 0.251], [0.558, 0.749, 0.126], [0.317, 0.981, 0.433], [0.183, 0.567, 0.019], [0.683, 0.019, 0.567], [0.817, 0.433, 0.981], [0.117, 0.709, 0.491], [0.383, 0.509, 0.291], [0.883, 0.291, 0.509], [0.617, 0.491, 0.709]],
  "sg": "C2/c (15)",
  "dft_energy_ev_per_atom": -4.4139,
  "density_g_cm3": 8.75,
  "n_ef_per_ev_atom": 1.44,
  "delta_e_f_ev_per_atom": 0.12
}

=====

# 6
{
  "formula": "Ta4SnS8",
  "functional": "PBE",
  "state": "relaxed",
  "lattice_angstrom": [[5.913, 0.000, -3.190], [-3.817, 5.529, 0.000], [0.675, 0.467, 8.326]],
  "species": ["Ta", "Ta", "Ta", "Ta", "Sn", "S", "S", "S", "S", "S", "S", "S", "S"],
  "frac_coords": [[0.000, 0.000, 0.000], [0.000, 0.500, 0.000], [0.500, 0.500, 0.000], [0.500, 0.000, 0.000], [0.000, 0.500, 0.500], [0.473, 0.736, 0.209], [0.527, 0.264, 0.791], [0.476, 0.238, 0.212], [0.026, 0.264, 0.788], [0.524, 0.762, 0.788], [0.026, 0.762, 0.788], [0.974, 0.238, 0.212], [0.974, 0.736, 0.212]],
  "sg": "R-3m (166)",
  "dft_energy_ev_per_atom": -7.3846,
  "density_g_cm3": 6.30,
  "relative_energy_kj_per_mol_atoms": 0.0,
  "n_ef_per_ev_atom": 0.70
}

=====

# 7
{
  "formula": "TlRuBr",
  "functional": "PBE",
  "state": "relaxed",
  "lattice_angstrom": [[6.581, -0.016, 0.000], [4.878, 4.417, 0.000], [-5.729, -2.200, 2.374]],
  "species": ["Ru", "Tl", "Br"],
  "frac_coords": [[0.338, 0.338, 0.000], [0.698, 0.698, 0.000], [0.964, 0.964, 0.000]],
  "sg": "I4mm (107)",
  "dft_energy_ev_per_atom": -3.8628,
  "density_g_cm3": 9.25,
  "relative_energy_kj_per_mol_atoms": 5.8,
  "n_ef_per_ev_atom": 0.66
}

=====

# 8
{
  "formula": "YSbPt2",
  "functional": "PBE",
  "state": "relaxed",
  "lattice_angstrom": [[-1.486, -2.439, 3.910], [-2.001, -4.382, -0.495], [2.409, -3.940, 1.456]],
  "species": ["Pt", "Pt", "Sb", "Y"],
  "frac_coords": [[0.000, 0.000, 0.000], [0.250, 0.250, 0.250], [0.500, 0.500, 0.500], [0.750, 0.750, 0.750]],
  "sg": "F-43m (216)",
  "dft_energy_ev_per_atom": -6.2527,
  "density_g_cm3": 12.43,
  "n_ef_per_ev_atom": 0.45
}

=====

Repeat the third record exactly.
{
  "formula": "Co3GeBi",
  "functional": "PBE",
  "state": "relaxed",
  "lattice_angstrom": [[-4.298, 0.265, -2.100], [1.505, -2.961, -3.453], [-1.489, -3.757, 2.573]],
  "species": ["Ge", "Co", "Co", "Co", "Bi"],
  "frac_coords": [[0.500, 0.500, 0.500], [0.000, 0.500, 0.000], [0.000, 0.000, 0.500], [0.500, 0.000, 0.000], [0.000, 0.000, 0.000]],
  "sg": "Pm-3m (221)",
  "dft_energy_ev_per_atom": -4.4606,
  "density_g_cm3": 6.92,
  "relative_energy_kj_per_mol_atoms": 85.7,
  "n_ef_per_ev_atom": 2.31,
  "delta_e_f_ev_per_atom": 1.50
}